(1)
This record from Alexandria via LeMat-Bulk describes an optimized crystal structure of Cu2PIr. The functional is GGA-PBE.

Calculated values
**Space-group type**: P4mm, No. 99
**Total magnetization**: 0.0 μB per formula unit
**Crystal system**: tetragonal
**Energy relative to the elements**: -10 meV/atom

Geometry as CIF:
```
data_Cu2PIr
_chemical_formula_sum 'Cu2 P1 Ir1'
_cell_length_a 3.0188
_cell_length_b 3.0188
_cell_length_c 5.6774
_cell_angle_alpha 90.00
_cell_angle_beta 90.00
_cell_angle_gamma 90.00
_space_group_name_H-M_alt 'P 1'
_space_group_IT_number 1
loop_
_space_group_symop_operation_xyz
'x,y,z'
loop_
_atom_site_label
_atom_site_type_symbol
_atom_site_fract_x
_atom_site_fract_y
_atom_site_fract_z
Cu1 Cu 0.0000 0.0000 0.0000
Cu2 Cu 0.5000 0.5000 0.2198
P1 P 0.5000 0.5000 0.7368
Ir1 Ir 0.0000 0.0000 0.5178
```

=====

(2)
This record from Alexandria via LeMat-Bulk describes an optimized crystal structure of Cu3PIr. The functional is GGA-PBE.

Calculated values
**Space-group type**: Pm-3m, No. 221
**Total magnetization**: 0.0 μB per formula unit
**Crystal system**: cubic
**Energy relative to the elements**: 656 meV/atom
**E above lowest polymorph**: 0.00 eV/f.u.

Geometry as CIF:
```
data_Cu3PIr
_chemical_formula_sum 'Cu3 P1 Ir1'
_cell_length_a 4.2112
_cell_length_b 4.2112
_cell_length_c 4.2112
_cell_angle_alpha 90.00
_cell_angle_beta 90.00
_cell_angle_gamma 90.00
_space_group_name_H-M_alt 'P 1'
_space_group_IT_number 1
loop_
_space_group_symop_operation_xyz
'x,y,z'
loop_
_atom_site_label
_atom_site_type_symbol
_atom_site_fract_x
_atom_site_fract_y
_atom_site_fract_z
Cu1 Cu 0.0000 0.0000 0.5000
Cu2 Cu 0.0000 0.5000 0.0000
Cu3 Cu 0.5000 0.0000 0.0000
P1 P 0.0000 0.0000 0.0000
Ir1 Ir 0.5000 0.5000 0.5000
```

=====

(3)
This record from Alexandria via LeMat-Bulk describes an optimized crystal structure of CuPIr3. The functional is GGA-PBE.

Calculated values
**Space-group type**: Pm-3m, No. 221
**Total magnetization**: 0.0 μB per formula unit
**Crystal system**: cubic
**Energy relative to the elements**: 640 meV/atom

Geometry as CIF:
```
data_CuPIr3
_chemical_formula_sum 'Cu1 P1 Ir3'
_cell_length_a 4.3694
_cell_length_b 4.3694
_cell_length_c 4.3694
_cell_angle_alpha 90.00
_cell_angle_beta 90.00
_cell_angle_gamma 90.00
_space_group_name_H-M_alt 'P 1'
_space_group_IT_number 1
loop_
_space_group_symop_operation_xyz
'x,y,z'
loop_
_atom_site_label
_atom_site_type_symbol
_atom_site_fract_x
_atom_site_fract_y
_atom_site_fract_z
Cu1 Cu 0.0000 0.0000 0.0000
P1 P 0.5000 0.5000 0.5000
Ir1 Ir 0.0000 0.5000 0.5000
Ir2 Ir 0.5000 0.0000 0.5000
Ir3 Ir 0.5000 0.5000 0.0000
```

=====

(4)
This record from Alexandria via LeMat-Bulk describes an optimized crystal structure of Cu2PIr. The functional is GGA-PBE.

Calculated values
**Space-group type**: P4/mmm, No. 123
**Total magnetization**: 0.0 μB per formula unit
**Crystal system**: tetragonal
**Energy relative to the elements**: 81 meV/atom

Geometry as CIF:
```
data_Cu2PIr
_chemical_formula_sum 'Cu2 P1 Ir1'
_cell_length_a 3.5364
_cell_length_b 3.5364
_cell_length_c 4.0951
_cell_angle_alpha 90.00
_cell_angle_beta 90.00
_cell_angle_gamma 90.00
_space_group_name_H-M_alt 'P 1'
_space_group_IT_number 1
loop_
_space_group_symop_operation_xyz
'x,y,z'
loop_
_atom_site_label
_atom_site_type_symbol
_atom_site_fract_x
_atom_site_fract_y
_atom_site_fract_z
Cu1 Cu 0.0000 0.5000 0.0000
Cu2 Cu 0.5000 0.0000 0.0000
P1 P 0.0000 0.0000 0.5000
Ir1 Ir 0.5000 0.5000 0.5000
```